# GGA-PBE CuW2Br, relaxed
data_CuW2Br
_symmetry_space_group_name_H-M 'P 1'
_symmetry_Int_Tables_number 1
_symmetry_space_group_name_Hall 'P 1'
_cell_length_a 4.775
_cell_length_b 4.775
_cell_length_c 5.145
_cell_angle_alpha 80.66
_cell_angle_beta 80.66
_cell_angle_gamma 34.99
loop_
_atom_site_label
_atom_site_type_symbol
_atom_site_fract_x
_atom_site_fract_y
_atom_site_fract_z
Br1 Br 0.488 0.488 0.463
Cu1 Cu 0.254 0.254 0.234
W1 W 0.000 0.000 0.021
W2 W 0.757 0.757 0.782
# SG: No. 8
# Energy relative to the elements, uncorrected, eV per formula unit: 3.98
# VASP energy, eV per atom: -6.9238
# Calculated density, Mg/m³: 12.805